Computed, not measured: an optimized crystal structure of Li2Mn3TeO8 at the GGA+U level of DFT.

POSCAR file:
```
Li2Mn3TeO8
1.0
3.034 -5.256 0.000
3.034 5.256 0.000
0.000 0.000 9.895
O Te Mn Li
16 2 6 4
Cartesian
4.376 -2.526 8.482
1.693 2.526 3.534
4.493 -0.910 0.883
3.034 -3.436 0.883
1.576 0.910 5.831
3.034 3.436 5.831
1.576 -0.910 0.883
3.034 1.752 1.130
3.034 -1.752 6.078
0.000 0.000 7.815
3.034 0.203 3.534
1.693 -2.526 8.482
4.493 0.910 5.831
0.000 0.000 2.868
4.376 2.526 3.534
3.034 -0.203 8.482
3.034 -1.752 9.727
3.034 1.752 4.779
4.515 0.897 2.089
1.553 -0.897 7.036
3.034 3.462 2.089
3.034 -3.462 7.036
4.515 -0.897 7.036
1.553 0.897 2.089
3.034 1.752 9.027
0.000 0.000 4.770
3.034 -1.752 4.079
0.000 0.000 9.718
```

Values from the calculation:
Density: 4.570 Mg/m³
Total magnetic moment: 26.00 μB per cell
E_tot: -0.48018 Ry per atom
DOS at the Fermi energy: 2.39 states/eV/cell
Offset from the most stable computed form: 0.00 eV per formula unit